# 1
DFT (PBE) results for a geometry-optimized As2RuSe structure.

a b c (Å): 2.9436 2.9436 8.5589
angles (deg): 90.00 90.00 90.00
Element x y z (fractional)
1 Ru 0.0000 0.0000 0.4974
2 As 0.0000 0.0000 0.0196
3 As 0.5000 0.5000 0.3013
4 Se 0.5000 0.5000 0.6817

Summary:
- space-group type = P4mm (99)
- formation energy (no corrections) (meV/atom) = 182

---

# 2
DFT (PBE) results for a geometry-optimized Pr14Au51 structure.

a b c (Å): 13.0640 13.0640 9.4218
angles (deg): 90.00 90.00 120.00
Element x y z (fractional)
1 Pr 0.1301 0.4766 0.5000
2 Pr 0.5234 0.6535 0.5000
3 Pr 0.3465 0.8699 0.5000
4 Pr 0.1992 0.1889 0.5000
5 Pr 0.8111 0.0103 0.5000
6 Pr 0.9897 0.8008 0.5000
7 Pr 0.7799 0.7167 0.0000
8 Pr 0.2833 0.0632 0.0000
9 Pr 0.9368 0.2201 0.0000
10 Pr 0.5512 0.9327 0.0000
11 Pr 0.0673 0.6185 0.0000
12 Pr 0.3815 0.4488 0.0000
13 Pr 0.6667 0.3333 0.2984
14 Pr 0.6667 0.3333 0.7016
15 Au 0.7247 0.5682 0.5000
16 Au 0.4318 0.1566 0.5000
17 Au 0.8434 0.2753 0.5000
18 Au 0.6071 0.0936 0.5000
19 Au 0.9064 0.5135 0.5000
20 Au 0.4865 0.3929 0.5000
21 Au 0.1585 0.4496 0.1522
22 Au 0.5504 0.7089 0.1522
23 Au 0.2911 0.8415 0.1522
24 Au 0.1684 0.2172 0.1509
25 Au 0.7828 0.9513 0.1509
26 Au 0.0487 0.8316 0.1509
27 Au 0.1684 0.2172 0.8491
28 Au 0.7828 0.9513 0.8491
29 Au 0.0487 0.8316 0.8491
30 Au 0.1585 0.4496 0.8478
31 Au 0.5504 0.7089 0.8478
32 Au 0.2911 0.8415 0.8478
33 Au 0.3333 0.6667 0.0000
34 Au 0.0000 0.0000 0.0000
35 Au 0.7681 0.7730 0.3365
36 Au 0.2270 0.9951 0.3365
37 Au 0.0049 0.2319 0.3365
38 Au 0.5657 0.8884 0.3377
39 Au 0.1116 0.6773 0.3377
40 Au 0.3227 0.4343 0.3377
41 Au 0.5657 0.8884 0.6623
42 Au 0.1116 0.6773 0.6623
43 Au 0.3227 0.4343 0.6623
44 Au 0.7681 0.7730 0.6635
45 Au 0.2270 0.9951 0.6635
46 Au 0.0049 0.2319 0.6635
47 Au 0.8636 0.6051 0.2354
48 Au 0.3949 0.2585 0.2354
49 Au 0.7415 0.1364 0.2354
50 Au 0.4743 0.0678 0.2298
51 Au 0.9322 0.4065 0.2298
52 Au 0.5935 0.5257 0.2298
53 Au 0.4743 0.0678 0.7702
54 Au 0.9322 0.4065 0.7702
55 Au 0.5935 0.5257 0.7702
56 Au 0.8636 0.6051 0.7646
57 Au 0.3949 0.2585 0.7646
58 Au 0.7415 0.1364 0.7646
59 Au 0.3333 0.6667 0.3042
60 Au 0.0000 0.0000 0.3031
61 Au 0.0000 0.0000 0.6969
62 Au 0.3333 0.6667 0.6958
63 Au 0.8040 0.4438 0.0000
64 Au 0.5562 0.3602 0.0000
65 Au 0.6398 0.1960 0.0000

Summary:
- space-group type = P-6 (174)
- ΔE_f (meV per atom) = -629

---

# 3
DFT (PBE) results for a geometry-optimized LaCd2InNi structure.

a b c (Å): 4.9891 4.9891 4.9344
angles (deg): 90.00 90.00 90.00
Element x y z (fractional)
1 Cd 0.0000 0.5000 0.0000
2 Cd 0.5000 0.0000 0.0000
3 In 0.0000 0.0000 0.5000
4 Ni 0.0000 0.0000 0.0000
5 La 0.5000 0.5000 0.5000

Summary:
- space-group type = P4/mmm (123)
- offset from the most stable computed form (kcal/mol of atoms) = 0.00
- ΔE_f (meV per atom) = -210

---

# 4
DFT (PBE) results for a geometry-optimized Tb7Pr3Tm structure.

a b c (Å): 8.7363 7.1088 7.1088
angles (deg): 120.00 90.00 90.00
Element x y z (fractional)
1 Tb 0.1215 0.1675 0.8325
2 Tb 0.1215 0.1675 0.3351
3 Tb 0.1234 0.6667 0.3333
4 Tb 0.4455 0.8326 0.1674
5 Tb 0.4455 0.3349 0.1674
6 Tb 0.4455 0.8326 0.6651
7 Tb 0.1215 0.6649 0.8325
8 Pr 0.7827 0.4999 0.5001
9 Pr 0.7827 0.4999 0.9997
10 Pr 0.7827 0.0003 0.5001
11 Tm 0.4425 0.3333 0.6667

Summary:
- space-group type = P3m1 (156)
- offset from the most stable computed form (kcal/mol of atoms) = 0.00
- ΔE_f (meV per atom) = 169

---

# 5
DFT (PBE) results for a geometry-optimized Zr2SiPS structure.

a b c (Å): 4.8691 4.2064 4.8691
angles (deg): 90.00 90.00 90.00
Element x y z (fractional)
1 P 0.5000 0.5000 0.5000
2 S 0.0000 0.0000 0.0000
3 Si 0.0000 0.5000 0.0000
4 Zr 0.0000 0.0000 0.5000
5 Zr 0.5000 0.0000 0.0000

Summary:
- space-group type = P4/mmm (123)
- formation energy (no corrections) (meV/atom) = 32

---

# 6
DFT (PBE) results for a geometry-optimized AsPdAuBr2 structure.

a b c (Å): 5.1463 5.1463 4.8714
angles (deg): 90.00 90.00 90.00
Element x y z (fractional)
1 As 0.0000 0.0000 0.5000
2 Au 0.5000 0.5000 0.5000
3 Br 0.0000 0.5000 0.0000
4 Br 0.5000 0.0000 0.0000
5 Pd 0.0000 0.0000 0.0000

Summary:
- space-group type = P4/mmm (123)
- offset from the most stable computed form (kcal/mol of atoms) = 0.00
- formation energy (no corrections) (meV/atom) = 461

---

# 7
DFT (PBE) results for a geometry-optimized BaMgN structure.

a b c (Å): 7.5069 6.0802 3.3973
angles (deg): 106.23 90.00 90.00
Element x y z (fractional)
1 N 0.0000 0.1223 0.6117
2 N 0.5000 0.6159 0.8603
3 Ba 0.2500 0.3691 0.2347
4 Ba 0.7500 0.3691 0.2347
5 Mg 0.0000 0.9160 0.0083
6 Mg 0.5000 0.8221 0.4638

Summary:
- space-group type = P2_1/m (11)
- formation energy (no corrections) (meV/atom) = -148

---

# 8
DFT (PBE) results for a geometry-optimized K4SmY3Se8 structure.

a b c (Å): 8.4751 9.1149 8.4755
angles (deg): 117.72 120.00 90.00
Element x y z (fractional)
1 K 0.5000 0.0000 0.0000
2 K 0.5000 0.0000 0.5000
3 K 0.0000 0.0000 0.0000
4 K 0.0000 0.0000 0.5000
5 Sm 0.0000 0.5000 0.0000
6 Y 0.5000 0.5000 0.0000
7 Y 0.5000 0.5000 0.5000
8 Y 0.0000 0.5000 0.5000
9 Se 0.2377 0.7068 0.9692
10 Se 0.2377 0.7068 0.4754
11 Se 0.2650 0.2950 0.5299
12 Se 0.7315 0.7068 0.9692
13 Se 0.2685 0.2932 0.0308
14 Se 0.7350 0.7050 0.4701
15 Se 0.7623 0.2932 0.5246
16 Se 0.7623 0.2932 0.0308

Summary:
- space-group type = R-3m (166)
- formation energy (no corrections) (meV/atom) = -1769

---

no.,E (eV/atom)
1,-5.333
2,-4.230
3,-3.265
4,-4.488
5,-6.380
6,-2.832
7,-4.096
8,-5.293